GGA+U Sr3V2NiO9, relaxed; magnetic moment = 2.00 μB/f.u.; VASP energy = -6.781 eV/atom
1.0
5.5229 0.0000 0.0000
-2.7615 4.7830 0.0000
0.0000 0.0000 6.7911
Sr V Ni O
3 2 1 9
Direct
0.0000 0.0000 0.0000 Sr
0.3333 0.6667 0.6754 Sr
0.6667 0.3333 0.3246 Sr
0.3333 0.6667 0.1792 V
0.6667 0.3333 0.8208 V
0.0000 0.0000 0.5000 Ni
0.0000 0.5000 0.0000 O
0.1727 0.3455 0.3230 O
0.1727 0.8273 0.3230 O
0.3455 0.1727 0.6770 O
0.5000 0.0000 0.0000 O
0.5000 0.5000 0.0000 O
0.6545 0.8273 0.3230 O
0.8273 0.1727 0.6770 O
0.8273 0.6545 0.6770 O